# 1
Compound: NaLi2Cl
Source: Alexandria via LeMat-Bulk
Functional: PBE
Structure: optimized geometry

```
data_NaLi2Cl
_cell_length_a 3.5376
_cell_length_b 3.5376
_cell_length_c 26.8166
_cell_angle_alpha 90.00
_cell_angle_beta 90.00
_cell_angle_gamma 120.00
_space_group_name_H-M_alt 'R -3 m'
_space_group_IT_number 166
_space_group_name_Hall '-R 3 2"'
loop_
_atom_site_label
_atom_site_fract_x
_atom_site_fract_y
_atom_site_fract_z
Na1 0.0000 0.0000 0.0000
Li1 0.0000 0.0000 0.2227
Cl1 0.0000 0.0000 0.5000
```

Values from the calculation:
The density of states at the Fermi level comes out at 0.1992 states/eV per atom. The formation energy from raw total energies comes out at -0.79 eV/atom. The calculation puts the energy above the most stable polymorph in this dataset at 0 meV per atom. The total moment comes out at 0.000 μB/atom. For the energy, the calculation gives -2.53 eV/atom. Its crystal system is trigonal.

---

# 2
Compound: NaLi2Cl
Source: Alexandria via LeMat-Bulk
Functional: PBE
Structure: optimized geometry

```
data_NaLi2Cl
_cell_length_a 7.291
_cell_length_b 7.291
_cell_length_c 7.291
_cell_angle_alpha 90.00
_cell_angle_beta 90.00
_cell_angle_gamma 90.00
_space_group_name_H-M_alt 'F m -3 m'
_space_group_IT_number 225
_space_group_name_Hall '-F 4 2 3'
loop_
_atom_site_label
_atom_site_fract_x
_atom_site_fract_y
_atom_site_fract_z
Na1 0.000 0.000 0.000
Li1 0.250 0.250 0.250
Cl1 0.000 0.000 0.500
```

Values from the calculation:
The density of states at the Fermi level comes out at 0.0016 states/eV per atom. The formation energy from raw total energies comes out at -0.38 eV/atom. The calculation puts the energy above the most stable polymorph in this dataset at 408 meV per atom. The total moment comes out at 0.000 μB/atom. For the energy, the calculation gives -2.13 eV/atom. Its crystal system is cubic.

---

# 3
Compound: NaLi2Cl3
Source: Alexandria via LeMat-Bulk
Functional: PBE
Structure: optimized geometry

```
data_NaLi2Cl3
_cell_length_a 3.814
_cell_length_b 3.814
_cell_length_c 15.956
_cell_angle_alpha 90.00
_cell_angle_beta 90.00
_cell_angle_gamma 90.00
_space_group_name_H-M_alt 'I 4/m m m'
_space_group_IT_number 139
_space_group_name_Hall '-I 4 2'
loop_
_atom_site_label
_atom_site_fract_x
_atom_site_fract_y
_atom_site_fract_z
Na1 0.000 0.000 0.000
Li1 0.000 0.000 0.329
Cl1 0.000 0.000 0.173
Cl2 0.000 0.000 0.500
```

Values from the calculation:
The density of states at the Fermi level comes out at 0.0000 states/eV per atom. The formation energy from raw total energies comes out at -1.78 eV/atom. The calculation puts the energy above the most stable polymorph in this dataset at 0 meV per atom. The total moment comes out at 0.000 μB/atom. For the energy, the calculation gives -3.56 eV/atom. Its crystal system is tetragonal.